1.
# MnCr2Cu, relaxed, DFT PBE-GGA
data_MnCr2Cu
_symmetry_space_group_name_H-M 'P 1 m 1'
_symmetry_Int_Tables_number 6
_cell_length_a 2.391
_cell_length_b 4.025
_cell_length_c 4.845
_cell_angle_alpha 90.00
_cell_angle_beta 100.57
_cell_angle_gamma 90.00
loop_
_symmetry_equiv_pos_as_xyz
'x,y,z'
'x,-y,z'
loop_
_atom_site_label
_atom_site_fract_x
_atom_site_fract_y
_atom_site_fract_z
Mn1 0.000 0.000 0.000
Cr1 0.558 0.000 0.498
Cr2 0.786 0.500 0.237
Cu1 0.257 0.500 0.743
# Raw total energy, eV/atom: -7.90
# ΔH_f (0 K), meV per atom: 227
# V, Å³/atom: 11.46
# Excess energy over the best structure of this formula in the dataset, meV per atom: 58

2.
# Mn2CrCu, relaxed, DFT PBE-GGA
data_Mn2CrCu
_symmetry_space_group_name_H-M 'P m m 2'
_symmetry_Int_Tables_number 25
_cell_length_a 2.523
_cell_length_b 3.625
_cell_length_c 5.066
_cell_angle_alpha 90.00
_cell_angle_beta 90.00
_cell_angle_gamma 90.00
loop_
_symmetry_equiv_pos_as_xyz
'x,y,z'
'-x,-y,z'
'-x,y,z'
'x,-y,z'
loop_
_atom_site_label
_atom_site_fract_x
_atom_site_fract_y
_atom_site_fract_z
Mn1 0.000 0.000 0.000
Mn2 0.500 0.500 0.233
Cr1 0.000 0.000 0.477
Cu1 0.500 0.500 0.737
# Raw total energy, eV/atom: -7.81
# ΔH_f (0 K), meV per atom: 208
# V, Å³/atom: 11.58

3.
# Mn2CrCu, relaxed, DFT PBE-GGA
data_Mn2CrCu
_symmetry_space_group_name_H-M 'R 3 m'
_symmetry_Int_Tables_number 160
_symmetry_space_group_name_Hall 'R 3 -2"'
_cell_length_a 2.4939
_cell_length_b 2.4939
_cell_length_c 25.2535
_cell_angle_alpha 90.00
_cell_angle_beta 90.00
_cell_angle_gamma 120.00
loop_
_atom_site_label
_atom_site_fract_x
_atom_site_fract_y
_atom_site_fract_z
Mn1 0.0000 0.0000 0.0000
Mn2 0.0000 0.0000 0.2570
Cr1 0.0000 0.0000 0.7502
Cu1 0.0000 0.0000 0.5040
# Raw total energy, eV/atom: -7.81
# ΔH_f (0 K), meV per atom: 205
# V, Å³/atom: 11.34

4.
# MnCr2Cu, relaxed, DFT PBE-GGA
data_MnCr2Cu
_symmetry_space_group_name_H-M 'I m m m'
_symmetry_Int_Tables_number 71
_symmetry_space_group_name_Hall '-I 2 2'
_cell_length_a 2.962
_cell_length_b 3.944
_cell_length_c 7.881
_cell_angle_alpha 90.00
_cell_angle_beta 90.00
_cell_angle_gamma 90.00
loop_
_atom_site_label
_atom_site_fract_x
_atom_site_fract_y
_atom_site_fract_z
Mn1 0.000 0.000 0.000
Cr1 0.000 0.500 0.267
Cu1 0.000 0.000 0.500
# Raw total energy, eV/atom: -7.88
# ΔH_f (0 K), meV per atom: 253
# V, Å³/atom: 11.51
# Excess energy over the best structure of this formula in the dataset, meV per atom: 84

5.
# MnCr2Cu, relaxed, DFT PBE-GGA
data_MnCr2Cu
_symmetry_space_group_name_H-M 'R 3 m'
_symmetry_Int_Tables_number 160
_symmetry_space_group_name_Hall 'R 3 -2"'
_cell_length_a 2.4949
_cell_length_b 2.4949
_cell_length_c 26.0265
_cell_angle_alpha 90.00
_cell_angle_beta 90.00
_cell_angle_gamma 120.00
loop_
_atom_site_label
_atom_site_fract_x
_atom_site_fract_y
_atom_site_fract_z
Mn1 0.0000 0.0000 0.0000
Cr1 0.0000 0.0000 0.2533
Cr2 0.0000 0.0000 0.5017
Cu1 0.0000 0.0000 0.7505
# Raw total energy, eV/atom: -7.83
# ΔH_f (0 K), meV per atom: 293
# V, Å³/atom: 11.69
# Excess energy over the best structure of this formula in the dataset, meV per atom: 125

6.
# Mn2CrCu, relaxed, DFT PBE-GGA
data_Mn2CrCu
_symmetry_space_group_name_H-M 'I -4 2 d'
_symmetry_Int_Tables_number 122
_symmetry_space_group_name_Hall 'I -4 2bw'
_cell_length_a 3.453
_cell_length_b 3.453
_cell_length_c 16.706
_cell_angle_alpha 90.00
_cell_angle_beta 90.00
_cell_angle_gamma 90.00
loop_
_atom_site_label
_atom_site_fract_x
_atom_site_fract_y
_atom_site_fract_z
Mn1 0.197 0.250 0.125
Cr1 0.000 0.000 0.000
Cu1 0.000 0.000 0.500
# Raw total energy, eV/atom: -7.21
# ΔH_f (0 K), meV per atom: 800
# V, Å³/atom: 12.45

7.
# Mn2CrCu, relaxed, DFT PBE-GGA
data_Mn2CrCu
_symmetry_space_group_name_H-M 'P 1 2/m 1'
_symmetry_Int_Tables_number 10
_cell_length_a 2.442
_cell_length_b 4.013
_cell_length_c 4.751
_cell_angle_alpha 90.00
_cell_angle_beta 98.41
_cell_angle_gamma 90.00
loop_
_symmetry_equiv_pos_as_xyz
'x,y,z'
'-x,-y,-z'
'-x,y,-z'
'x,-y,z'
loop_
_atom_site_label
_atom_site_fract_x
_atom_site_fract_y
_atom_site_fract_z
Mn1 0.202 0.000 0.254
Cr1 0.000 0.500 0.500
Cu1 0.500 0.500 0.000
# Raw total energy, eV/atom: -7.79
# ΔH_f (0 K), meV per atom: 226
# V, Å³/atom: 11.51

8.
# MnCr2Cu, relaxed, DFT PBE-GGA
data_MnCr2Cu
_symmetry_space_group_name_H-M 'P 4 m m'
_symmetry_Int_Tables_number 99
_cell_length_a 2.966
_cell_length_b 2.966
_cell_length_c 5.704
_cell_angle_alpha 90.00
_cell_angle_beta 90.00
_cell_angle_gamma 90.00
loop_
_symmetry_equiv_pos_as_xyz
'x,y,z'
'-y,x,z'
'-x,-y,z'
'y,-x,z'
'-x,y,z'
'y,x,z'
'x,-y,z'
'-y,-x,z'
loop_
_atom_site_label
_atom_site_fract_x
_atom_site_fract_y
_atom_site_fract_z
Mn1 0.000 0.000 0.000
Cr1 0.000 0.000 0.483
Cr2 0.500 0.500 0.249
Cu1 0.500 0.500 0.747
# Raw total energy, eV/atom: -7.95
# ΔH_f (0 K), meV per atom: 182
# V, Å³/atom: 12.54
# Excess energy over the best structure of this formula in the dataset, meV per atom: 13